[1]
Density functional theory data (GGA-PBE) for LiCd6In8 after structural relaxation.

## Properties
The calculation puts the density of states at the Fermi level at 6.3 states/eV/cell. The calculation puts the volume at 399.9 Å³ per cell. The calculation puts the magnetic moment at 0.00 μB per cell. Its formation energy is 0.0429 eV per atom.

a b c (Å): 8.480 8.480 6.421
angles (deg): 90.00 90.00 120.00
Atoms (fractional coordinates):
Li 0.000 0.000 0.000
Cd 0.019 0.672 0.907
Cd 0.328 0.347 0.907
Cd 0.347 0.019 0.093
Cd 0.653 0.981 0.907
Cd 0.672 0.653 0.093
Cd 0.981 0.328 0.093
In 0.057 0.362 0.610
In 0.305 0.943 0.610
In 0.333 0.667 0.261
In 0.362 0.305 0.390
In 0.638 0.695 0.610
In 0.667 0.333 0.739
In 0.695 0.057 0.390
In 0.943 0.638 0.390

---

[2]
Density functional theory data (GGA-PBE) for LiCd6In4 after structural relaxation.

## Properties
The calculation puts the density of states at the Fermi level at 5.7 states/eV/cell. The calculation puts the volume at 546.1 Å³ per cell. The calculation puts the magnetic moment at 0.00 μB per cell. Its formation energy is 0.0060 eV per atom.

a b c (Å): 5.727 5.727 21.729
angles (deg): 90.00 90.00 129.99
Atoms (fractional coordinates):
Li 0.076 0.924 0.750
Li 0.924 0.076 0.250
Cd 0.000 0.000 0.000
Cd 0.000 0.000 0.500
Cd 0.210 0.790 0.250
Cd 0.231 0.769 0.634
Cd 0.231 0.769 0.866
Cd 0.454 0.546 0.177
Cd 0.454 0.546 0.323
Cd 0.546 0.454 0.677
Cd 0.546 0.454 0.823
Cd 0.769 0.231 0.134
Cd 0.769 0.231 0.366
Cd 0.790 0.210 0.750
In 0.083 0.917 0.127
In 0.083 0.917 0.373
In 0.329 0.671 0.032
In 0.329 0.671 0.468
In 0.671 0.329 0.532
In 0.671 0.329 0.968
In 0.917 0.083 0.627
In 0.917 0.083 0.873

---

[3]
Density functional theory data (GGA-PBE) for Li6Cd3In after structural relaxation.

## Properties
The calculation puts the density of states at the Fermi level at 6.1 states/eV/cell. The calculation puts the volume at 366.7 Å³ per cell. The calculation puts the magnetic moment at 0.00 μB per cell. Its formation energy is -0.2415 eV per atom.

a b c (Å): 8.167 4.731 9.958
angles (deg): 90.00 107.64 90.00
Atoms (fractional coordinates):
Li 0.047 0.250 0.398
Li 0.148 0.750 0.196
Li 0.248 0.250 0.997
Li 0.345 0.750 0.799
Li 0.352 0.250 0.299
Li 0.447 0.250 0.598
Li 0.553 0.750 0.402
Li 0.648 0.750 0.701
Li 0.655 0.250 0.201
Li 0.752 0.750 0.003
Li 0.852 0.250 0.804
Li 0.953 0.750 0.602
Cd 0.046 0.750 0.900
Cd 0.148 0.250 0.696
Cd 0.251 0.750 0.497
Cd 0.749 0.250 0.503
Cd 0.852 0.750 0.304
Cd 0.954 0.250 0.100
In 0.451 0.750 0.100
In 0.549 0.250 0.900

---

[4]
Density functional theory data (GGA-PBE) for LiCd5In4 after structural relaxation.

## Properties
The calculation puts the density of states at the Fermi level at 5.8 states/eV/cell. The calculation puts the volume at 499.2 Å³ per cell. The calculation puts the magnetic moment at 0.00 μB per cell. Its formation energy is 0.0183 eV per atom.

a b c (Å): 6.341 7.745 10.165
angles (deg): 90.00 90.00 90.00
Atoms (fractional coordinates):
Li 0.250 0.250 0.238
Li 0.750 0.750 0.762
Cd 0.008 0.562 0.267
Cd 0.008 0.938 0.267
Cd 0.250 0.750 0.808
Cd 0.492 0.562 0.267
Cd 0.492 0.938 0.267
Cd 0.508 0.062 0.733
Cd 0.508 0.438 0.733
Cd 0.750 0.250 0.192
Cd 0.992 0.062 0.733
Cd 0.992 0.438 0.733
In 0.001 0.250 0.471
In 0.250 0.050 0.003
In 0.250 0.450 0.003
In 0.499 0.250 0.471
In 0.501 0.750 0.529
In 0.750 0.550 0.997
In 0.750 0.950 0.997
In 0.999 0.750 0.529

---

[5]
Density functional theory data (GGA-PBE) for Li5Cd4In after structural relaxation.

## Properties
The calculation puts the density of states at the Fermi level at 2.3 states/eV/cell. The calculation puts the volume at 185.8 Å³ per cell. The calculation puts the magnetic moment at 0.00 μB per cell. Its formation energy is -0.2631 eV per atom.

a b c (Å): 3.355 3.355 16.506
angles (deg): 90.00 90.00 90.00
Atoms (fractional coordinates):
Li 0.000 0.000 0.000
Li 0.000 0.000 0.194
Li 0.000 0.000 0.390
Li 0.000 0.000 0.610
Li 0.000 0.000 0.806
Cd 0.500 0.500 0.096
Cd 0.500 0.500 0.290
Cd 0.500 0.500 0.710
Cd 0.500 0.500 0.904
In 0.500 0.500 0.500

---

[6]
Density functional theory data (GGA-PBE) for LiCd8In4 after structural relaxation.

## Properties
The calculation puts the density of states at the Fermi level at 4.1 states/eV/cell. The calculation puts the volume at 327.3 Å³ per cell. The calculation puts the magnetic moment at 0.00 μB per cell. Its formation energy is 0.0022 eV per atom.

a b c (Å): 5.204 5.204 14.751
angles (deg): 102.25 102.25 57.62
Atoms (fractional coordinates):
Li 0.000 0.000 0.000
Cd 0.057 0.057 0.790
Cd 0.215 0.215 0.460
Cd 0.412 0.412 0.861
Cd 0.528 0.528 0.410
Cd 0.630 0.630 0.227
Cd 0.677 0.677 0.031
Cd 0.738 0.738 0.832
Cd 0.865 0.865 0.407
In 0.350 0.350 0.063
In 0.482 0.482 0.642
In 0.789 0.789 0.610
In 0.952 0.952 0.218

---

> What is the formula in the second record?

LiCd6In4

---

What did the second record say?
Density functional theory data (GGA-PBE) for LiCd6In4 after structural relaxation.

## Properties
The calculation puts the density of states at the Fermi level at 5.7 states/eV/cell. The calculation puts the volume at 546.1 Å³ per cell. The calculation puts the magnetic moment at 0.00 μB per cell. Its formation energy is 0.0060 eV per atom.

a b c (Å): 5.727 5.727 21.729
angles (deg): 90.00 90.00 129.99
Atoms (fractional coordinates):
Li 0.076 0.924 0.750
Li 0.924 0.076 0.250
Cd 0.000 0.000 0.000
Cd 0.000 0.000 0.500
Cd 0.210 0.790 0.250
Cd 0.231 0.769 0.634
Cd 0.231 0.769 0.866
Cd 0.454 0.546 0.177
Cd 0.454 0.546 0.323
Cd 0.546 0.454 0.677
Cd 0.546 0.454 0.823
Cd 0.769 0.231 0.134
Cd 0.769 0.231 0.366
Cd 0.790 0.210 0.750
In 0.083 0.917 0.127
In 0.083 0.917 0.373
In 0.329 0.671 0.032
In 0.329 0.671 0.468
In 0.671 0.329 0.532
In 0.671 0.329 0.968
In 0.917 0.083 0.627
In 0.917 0.083 0.873

---

> Look up the volume of the fourth one.

499.2 Å³ per cell